Entry 1:
# Ce3Al4Ga2

Ce3Al4Ga2 after structural relaxation (PBE, Alexandria).

- SG = P-6m2
- relative energy among the computed polymorphs (eV per formula unit) = 0.057
- density (g/cm3) = 5.71
- Fermi-level density of states (states/eV/f.u.) = 12.26

Structure (POSCAR):
```
Ce3Al4Ga2
1.0
4.5750 0.0000 0.0000
-2.2875 3.9621 0.0000
0.0000 0.0000 21.4341
Ce Al Ga
6 8 4
direct
0.0000 0.0000 0.0833
0.0000 0.0000 0.2494
0.0000 0.0000 0.4168
0.0000 0.0000 0.5832
0.0000 0.0000 0.7506
0.0000 0.0000 0.9167
0.3333 0.6667 0.0000
0.3333 0.6667 0.1664
0.3333 0.6667 0.3313
0.3333 0.6667 0.6687
0.3333 0.6667 0.8336
0.6667 0.3333 0.0000
0.6667 0.3333 0.3336
0.6667 0.3333 0.6664
0.3333 0.6667 0.5000
0.6667 0.3333 0.1657
0.6667 0.3333 0.5000
0.6667 0.3333 0.8343
```

=====

Entry 2:
# LaBe2Cd

LaBe2Cd after structural relaxation (PBE, Alexandria).

- SG = Imm2
- density (g/cm3) = 5.43
- Fermi-level density of states (states/eV/f.u.) = 2.52
- total energy (eV per cell) = -12.21

Structure (POSCAR):
```
LaBe2Cd
1.0
-2.0739 2.6730 3.7142
2.0739 -2.6730 3.7142
2.0739 2.6730 -3.7142
La Be Cd
1 2 1
direct
0.0000 0.0000 0.0000
0.5895 0.5895 0.0000
0.6855 0.1855 0.5000
0.3143 0.8143 0.5000
```

=====

Entry 3:
# Cd2ReI

Cd2ReI after structural relaxation (PBE, Alexandria).

- uncorrected formation energy (eV per atom) = 1.389
- SG = Fm-3m
- relative energy among the computed polymorphs (eV per formula unit) = 0.934
- density (g/cm3) = 9.96
- Fermi-level density of states (states/eV/f.u.) = 3.40

Structure (POSCAR):
```
Cd2ReI
1.0
0.0000 3.5528 3.5528
3.5528 0.0000 3.5528
3.5528 3.5528 0.0000
Cd Re I
2 1 1
direct
0.2500 0.2500 0.2500
0.7500 0.7500 0.7500
0.0000 0.0000 0.0000
0.5000 0.5000 0.5000
```

=====

Entry 4:
# TlCuICl

TlCuICl after structural relaxation (PBE, Alexandria).

- uncorrected formation energy (eV per atom) = -0.543
- SG = Cm
- density (g/cm3) = 5.61
- Fermi-level density of states (states/eV/f.u.) = 0.00

Structure (POSCAR):
```
TlCuICl
1.0
3.8156 -2.2022 0.0000
3.8156 2.2022 0.0000
-0.0008 0.0000 7.5774
Tl Cu I Cl
1 1 1 1
direct
0.0000 0.0000 0.0000
0.3368 0.3368 0.4720
0.6695 0.6695 0.3665
0.3336 0.3336 0.7798
```